[1]
{"formula": "ZnN2Cl2", "functional": "PBE-GGA", "state": "relaxed", "crystal_system": "orthorhombic", "de_polymorph_mev_per_atom": 2151, "vol_a3_per_atom": 26.57, "magnetic_moment_mub_per_atom": 1.2159, "e_form_raw_ev_per_atom": 1.51, "lattice_angstrom": [[-3.925, 3.909, 4.329], [3.925, -3.909, 4.329], [3.925, 3.909, -4.329]], "species": ["Zn", "N", "N", "Cl", "N", "Cl", "Cl", "N", "Zn", "Cl"], "frac_coords": [[0.250, 0.667, 0.417], [0.545, 0.290, 0.744], [0.455, 0.710, 0.256], [0.488, 0.250, 0.238], [0.045, 0.301, 0.256], [0.012, 0.250, 0.762], [0.512, 0.750, 0.762], [0.955, 0.699, 0.744], [0.750, 0.333, 0.583], [0.988, 0.750, 0.238]]}

***

[2]
{"formula": "NaSiAs2", "functional": "PBE-GGA", "state": "relaxed", "crystal_system": "monoclinic", "vol_a3_per_atom": 25.40, "magnetic_moment_mub_per_atom": 0.0000, "e_form_raw_ev_per_atom": -0.18, "lattice_angstrom": [[-6.598, 1.404, 1.008], [-0.417, -4.578, 3.648], [2.458, 5.869, 7.913]], "species": ["As", "Na", "Si", "As", "As", "Na", "As", "Na", "As", "As", "As", "Si", "As", "Si", "Na", "Si"], "frac_coords": [[0.756, 0.941, 0.925], [0.290, 0.948, 0.371], [0.904, 0.396, 0.388], [0.244, 0.441, 0.425], [0.260, 0.553, 0.817], [0.290, 0.552, 0.129], [0.740, 0.053, 0.317], [0.710, 0.448, 0.871], [0.740, 0.447, 0.183], [0.244, 0.059, 0.075], [0.260, 0.947, 0.683], [0.096, 0.896, 0.888], [0.756, 0.559, 0.575], [0.904, 0.104, 0.112], [0.710, 0.052, 0.629], [0.096, 0.604, 0.612]]}

***

[3]
{"formula": "TlTeRh2", "functional": "PBE-GGA", "state": "relaxed", "crystal_system": "tetragonal", "de_polymorph_mev_per_atom": 292, "vol_a3_per_atom": 26.85, "magnetic_moment_mub_per_atom": 0.0000, "e_form_raw_ev_per_atom": 0.28, "lattice_angstrom": [[6.277, 0.000, 0.000], [0.000, 6.277, 0.000], [3.138, 3.138, 5.452]], "species": ["Tl", "Rh", "Tl", "Te", "Rh", "Rh", "Te", "Rh"], "frac_coords": [[0.750, 0.250, 0.500], [0.599, 0.125, 0.250], [0.000, 0.000, 0.000], [0.250, 0.750, 0.500], [0.151, 0.625, 0.250], [0.875, 0.849, 0.750], [0.500, 0.500, 0.000], [0.375, 0.401, 0.750]]}